Below is crystalline LiSmNiP2 at its relaxed geometry, with properties calculated at the GGA-PBE level.

Summary:
As for the formation energy: -369 kJ/mol of formula units. Its calculated total energy is -54.13 eV per cell.

POSCAR file:
```
LiSmNiP2
1.0
5.500 0.000 0.000
0.000 5.218 0.000
0.000 0.000 5.649
Sm P Ni Li
2 4 2 2
Cartesian
4.214 3.914 2.825
1.286 1.305 2.825
1.297 3.914 1.394
1.297 3.914 4.255
4.202 1.305 4.255
4.202 1.305 1.394
0.000 0.000 0.000
0.000 2.609 0.000
3.296 3.914 0.000
2.204 1.305 0.000
```